SrOF | PBE-GGA | optimized geometry

Summary:
* density of states at the Fermi level: 0.00 states/eV/atom
* magnetization: 0.00 μB/cell
* energy relative to the elements, uncorrected: -2.688 eV per atom
* total DFT energy (no corrections): -66.31 eV per cell

```
data_SrOF
_symmetry_space_group_name_H-M 'I 4/m m m'
_symmetry_Int_Tables_number 139
_symmetry_space_group_name_Hall '-I 4 2'
_cell_length_a 3.369
_cell_length_b 3.369
_cell_length_c 15.347
_cell_angle_alpha 90.00
_cell_angle_beta 90.00
_cell_angle_gamma 90.00
loop_
_atom_site_label
_atom_site_type_symbol
_atom_site_fract_x
_atom_site_fract_y
_atom_site_fract_z
Sr1 Sr 0.000 0.000 0.130
O1 O 0.000 0.000 0.451
F1 F 0.000 0.000 0.297
```

PrInCuIr | PBE-GGA | optimized geometry

Summary:
* calculated formation energy: -237 meV per atom
* density of states at the Fermi level: 0.80 states/eV/atom
* magnetization: 0.00 μB/cell
* total DFT energy (no corrections): -85.70 eV per cell

```
data_PrInCuIr
_symmetry_space_group_name_H-M 'F -4 3 m'
_symmetry_Int_Tables_number 216
_symmetry_space_group_name_Hall 'F -4 2 3'
_cell_length_a 6.868
_cell_length_b 6.868
_cell_length_c 6.868
_cell_angle_alpha 90.00
_cell_angle_beta 90.00
_cell_angle_gamma 90.00
loop_
_atom_site_label
_atom_site_type_symbol
_atom_site_fract_x
_atom_site_fract_y
_atom_site_fract_z
Pr1 Pr 0.000 0.000 0.000
In1 In 0.000 0.000 0.500
Cu1 Cu 0.250 0.250 0.750
Ir1 Ir 0.250 0.250 0.250
```

SrLaMn2 | PBE-GGA | optimized geometry

Summary:
* calculated formation energy: 472 meV per atom
* density of states at the Fermi level: 1.09 states/eV/atom
* magnetization: 13.78 μB/cell
* energy relative to the lowest polymorph listed for this composition: 20.1 kJ per mole of atoms
* total DFT energy (no corrections): -46.12 eV per cell

```
data_SrLaMn2
_symmetry_space_group_name_H-M 'C m m m'
_symmetry_Int_Tables_number 65
_symmetry_space_group_name_Hall '-C 2 2'
_cell_length_a 7.603
_cell_length_b 7.612
_cell_length_c 3.738
_cell_angle_alpha 90.00
_cell_angle_beta 90.00
_cell_angle_gamma 90.00
loop_
_atom_site_label
_atom_site_type_symbol
_atom_site_fract_x
_atom_site_fract_y
_atom_site_fract_z
Sr1 Sr 0.000 0.000 0.000
La1 La 0.000 0.500 0.000
Mn1 Mn 0.250 0.250 0.500
```

ZnAuSe2 | PBE-GGA | optimized geometry

Summary:
* density of states at the Fermi level: 0.32 states/eV/atom
* magnetization: 0.00 μB/cell
* energy relative to the elements, uncorrected: 0.014 eV per atom
* total DFT energy (no corrections): -22.93 eV per cell

```
data_ZnAuSe2
_symmetry_space_group_name_H-M 'I m m m'
_symmetry_Int_Tables_number 71
_symmetry_space_group_name_Hall '-I 2 2'
_cell_length_a 3.876
_cell_length_b 3.977
_cell_length_c 10.801
_cell_angle_alpha 90.00
_cell_angle_beta 90.00
_cell_angle_gamma 90.00
loop_
_atom_site_label
_atom_site_type_symbol
_atom_site_fract_x
_atom_site_fract_y
_atom_site_fract_z
Zn1 Zn 0.000 0.000 0.000
Au1 Au 0.000 0.000 0.500
Se1 Se 0.000 0.000 0.260
```